Density functional theory data (PBE-GGA) for a geometry-optimized BaAcHg structure.

Structure (CIF):
```
data_BaAcHg
_chemical_formula_sum 'Ba1 Ac1 Hg1'
_cell_length_a 5.604
_cell_length_b 5.604
_cell_length_c 5.604
_cell_angle_alpha 60.00
_cell_angle_beta 60.00
_cell_angle_gamma 60.00
_symmetry_space_group_name_H-M 'P 1'
_symmetry_Int_Tables_number 1
_symmetry_space_group_name_Hall 'P 1'
loop_
_atom_site_label
_atom_site_fract_x
_atom_site_fract_y
_atom_site_fract_z
Ac1 0.000 0.000 0.000
Ba1 0.250 0.250 0.250
Hg1 0.750 0.750 0.750
```

Output
Total magnetization, μB per atom: 0.004
DFT total energy, Ry/atom: -0.14007
Energy above the lowest structure with this stoichiometry, meV/atom: 0



Density functional theory data (PBE-GGA) for a geometry-optimized Ba2AcIrO6 structure.

Structure (CIF):
```
data_Ba2AcIrO6
_chemical_formula_sum 'Ba2 Ac1 Ir1 O6'
_cell_length_a 6.078
_cell_length_b 6.078
_cell_length_c 6.140
_cell_angle_alpha 61.04
_cell_angle_beta 60.55
_cell_angle_gamma 60.31
_symmetry_space_group_name_H-M 'P 1'
_symmetry_Int_Tables_number 1
_symmetry_space_group_name_Hall 'P 1'
loop_
_atom_site_label
_atom_site_fract_x
_atom_site_fract_y
_atom_site_fract_z
Ac1 0.500 0.500 0.000
Ba1 0.746 0.751 0.259
Ba2 0.254 0.249 0.741
Ir1 0.000 0.000 0.500
O1 0.225 0.842 0.210
O2 0.187 0.265 0.310
O3 0.732 0.252 0.316
O4 0.268 0.748 0.684
O5 0.813 0.735 0.690
O6 0.775 0.158 0.790
```

Output
Total magnetization, μB per atom: 0.200
DFT total energy, Ry/atom: -0.50524



> total magnetization of number 1 (BaAcHg)?

0.004 μB per atom